(1)
First-principles (PBE-GGA) data for crystalline PaGe2PdPt at its relaxed geometry, as listed in Alexandria via LeMat-Bulk.

Cell and atoms, written as POSCAR:
```
PaGe2PdPt
1.0
5.310 -2.215 0.000
5.310 2.215 0.000
-3.659 0.000 7.863
Pa Ge Pd Pt
2 4 2 2
Cartesian
1.380 0.000 1.483
5.580 0.000 6.380
-0.298 0.000 4.293
4.282 0.000 0.625
2.678 0.000 7.238
7.258 0.000 3.570
2.282 0.000 4.700
4.679 0.000 3.163
-1.937 0.000 6.296
8.898 0.000 1.567
```

Properties
- raw total energy (eV/atom) = -6.65
- formation energy from the elements (eV/atom) = -0.6593
- M_tot (μB per atom) = 0.000

***

(2)
First-principles (PBE-GGA) data for crystalline HoAlSn at its relaxed geometry, as listed in Alexandria via LeMat-Bulk.

Cell and atoms, written as POSCAR:
```
HoAlSn
1.0
4.514 0.000 0.000
-2.257 3.909 0.000
0.000 0.000 4.047
Ho Al Sn
1 1 1
Cartesian
0.000 0.000 0.000
0.000 2.606 1.736
2.257 1.303 2.181
```

Properties
- raw total energy (eV/atom) = -4.51
- formation energy from the elements (eV/atom) = -0.4011
- M_tot (μB per atom) = 0.000

***

(3)
First-principles (PBE-GGA) data for crystalline SrAcAgSb at its relaxed geometry, as listed in Alexandria via LeMat-Bulk.

Cell and atoms, written as POSCAR:
```
SrAcAgSb
1.0
8.018 0.000 0.000
0.000 8.018 0.000
0.000 0.000 8.018
Sr Ac Ag Sb
4 4 4 4
Cartesian
0.000 0.000 0.000
0.000 4.009 4.009
4.009 0.000 4.009
4.009 4.009 0.000
0.000 0.000 4.009
0.000 4.009 0.000
4.009 0.000 0.000
4.009 4.009 4.009
2.005 2.005 2.005
2.005 6.014 6.014
6.014 2.005 6.014
6.014 6.014 2.005
2.005 2.005 6.014
2.005 6.014 2.005
6.014 2.005 2.005
6.014 6.014 6.014
```

Properties
- raw total energy (eV/atom) = -3.79
- raw formation energy (eV per atom) = -0.603
- M_tot (μB per atom) = 0.000